VASP calculation (PBE) on LiLaEu2 after structural relaxation.

As for the formation energy: 74.1 kJ/mol of formula units. The total moment comes out at 61.931 μB per cell. The polymorph energy (0 for the lowest one) is 117 meV per atom.

The structure belongs to space group Fm-3m (No. 225); the cell edges are 8.246, 8.246 and 8.246 Å and the angles 90.00°, 90.00° and 90.00°. The asymmetric unit holds Li at (0.000, 0.000, 0.000), La at (0.000, 0.000, 0.500) and Eu at (0.250, 0.250, 0.250).